A relaxed structure of Ti2AsI, computed with GGA-PBE.

Computed properties:
SG   No. 122
Energy relative to the elements, uncorrected   0.4 kJ/mol of atoms
Raw total energy   -5.49 eV/atom

abc: 5.518 5.518 8.253
angles: 70.47 70.47 90.00
Fractional positions:
1 Ti 0.567 0.125 0.250
2 I 0.750 0.250 0.500
3 Ti 0.375 0.433 0.750
4 As 0.500 0.500 0.000
5 Ti 0.183 0.625 0.250
6 As 0.250 0.750 0.500
7 I 0.000 0.000 0.000
8 Ti 0.875 0.817 0.750